VASP calculation (PBE) on a relaxed structure of BeGaB2.

a b c (Å): 3.795 3.795 3.795
angles (deg): 60.00 60.00 60.00
Positions (direct):
Be 0.000 0.000 0.000
Ga 0.500 0.500 0.500
B 0.250 0.250 0.250
B 0.750 0.750 0.750

Calculated values
V: 39 Å³/cell
energy of formation from the pure elements: 117 kJ per mole of atoms
density of states at the Fermi level: 1.87 states/eV/f.u.
energy relative to the lowest polymorph listed for this composition: 763.3 meV/atom